First-principles (PBEsol) data for a relaxed Mn2Si2Bi crystal, as listed in the Alexandria database.

Cell and atoms, written as POSCAR:
```
Mn2Si2Bi
1.0
3.472 0.000 0.000
0.000 3.472 0.000
-1.736 -1.736 6.004
Si Mn Bi
2 2 1
direct
0.250 0.750 0.500
0.750 0.250 0.500
0.384 0.384 0.769
0.616 0.616 0.231
0.000 0.000 0.000
```

## Properties
The volume comes out at 14.48 A^3/atom. For the density of states at the Fermi level, the calculation gives 3.8 states/eV/cell. The calculation puts the uncorrected energy at -0.260 hartree per atom. For the calculated density, the calculation gives 8.6 Mg/m³. Its magnetic moment is 1.79 μB/cell.

=====

First-principles (PBEsol) data for a relaxed NbCoO4 crystal, as listed in the Alexandria database.

Cell and atoms, written as POSCAR:
```
NbCoO4
1.0
-2.710 1.267 2.319
-1.605 -5.911 -1.735
4.038 -0.527 5.007
Nb Co O
2 2 8
direct
0.105 0.209 0.238
0.895 0.791 0.762
0.797 0.594 0.172
0.203 0.406 0.828
0.942 0.883 0.136
0.058 0.117 0.864
0.738 0.475 0.865
0.143 0.286 0.532
0.645 0.290 0.200
0.857 0.714 0.468
0.262 0.525 0.135
0.355 0.710 0.800
```

## Properties
The volume comes out at 11.78 A^3/atom. For the density of states at the Fermi level, the calculation gives 0.3 states/eV/cell. The calculation puts the uncorrected energy at -0.311 hartree per atom. For the calculated density, the calculation gives 5.1 Mg/m³. Its magnetic moment is 0.00 μB/cell.

=====

First-principles (PBEsol) data for a relaxed Ca3TeP crystal, as listed in the Alexandria database.

Cell and atoms, written as POSCAR:
```
Ca3TeP
1.0
-4.871 2.246 -0.367
-2.033 -3.904 3.088
1.023 2.937 4.386
P Ca Te
1 3 1
direct
0.000 0.000 0.000
0.000 0.500 0.000
0.000 0.000 0.500
0.500 0.000 0.000
0.500 0.500 0.500
```

## Properties
The volume comes out at 31.09 A^3/atom. The relative energy among the computed polymorphs is 0.0 meV per atom. For the density of states at the Fermi level, the calculation gives 3.3 states/eV/cell. The calculation puts the uncorrected energy at -0.152 hartree per atom. For the calculated density, the calculation gives 3.0 Mg/m³. Its magnetic moment is 0.00 μB/cell.

=====

First-principles (PBEsol) data for a relaxed ZnCoAg2 crystal, as listed in the Alexandria database.

Cell and atoms, written as POSCAR:
```
ZnCoAg2
1.0
2.735 0.000 0.000
1.368 2.369 0.000
1.368 0.790 8.882
Ag Co Zn
2 1 1
direct
0.248 0.248 0.255
0.752 0.752 0.745
0.500 0.500 0.500
0.000 0.000 0.000
```

## Properties
The calculation puts the energy of formation at 0.89 eV per formula unit. The volume comes out at 14.39 A^3/atom. For the density of states at the Fermi level, the calculation gives 3.0 states/eV/cell. The calculation puts the uncorrected energy at -0.138 hartree per atom. For the calculated density, the calculation gives 9.8 Mg/m³. Its magnetic moment is 1.66 μB/cell.

=====

First-principles (PBEsol) data for a relaxed RbAl3P6O20 crystal, as listed in the Alexandria database.

Cell and atoms, written as POSCAR:
```
RbAl3P6O20
1.0
8.172 0.004 0.000
-2.126 7.890 0.000
0.000 0.000 11.981
Rb Al P O
2 6 12 40
direct
0.520 0.520 0.500
0.480 0.480 0.000
0.753 0.247 0.750
0.247 0.753 0.250
0.293 0.707 0.750
0.867 0.867 0.000
0.707 0.293 0.250
0.133 0.133 0.500
0.259 0.847 0.989
0.153 0.741 0.511
0.741 0.153 0.489
0.094 0.367 0.182
0.906 0.633 0.682
0.305 0.169 0.277
0.367 0.094 0.818
0.695 0.831 0.777
0.831 0.695 0.223
0.847 0.259 0.011
0.633 0.906 0.318
0.169 0.305 0.723
0.239 0.256 0.612
0.036 0.365 0.055
0.365 0.036 0.945
0.635 0.964 0.445
0.019 0.727 0.214
0.964 0.635 0.555
0.475 0.767 0.298
0.145 0.926 0.517
0.761 0.744 0.112
0.208 0.175 0.816
0.233 0.525 0.202
0.680 0.174 0.605
0.256 0.239 0.388
0.855 0.074 0.017
0.981 0.273 0.714
0.301 0.722 0.907
0.699 0.278 0.407
0.944 0.328 0.258
0.270 0.476 0.763
0.175 0.208 0.184
0.792 0.825 0.316
0.525 0.233 0.798
0.476 0.270 0.237
0.074 0.855 0.983
0.727 0.019 0.786
0.722 0.301 0.093
0.672 0.056 0.242
0.730 0.524 0.263
0.826 0.320 0.895
0.273 0.981 0.286
0.320 0.826 0.105
0.825 0.792 0.684
0.278 0.699 0.593
0.926 0.145 0.483
0.524 0.730 0.737
0.744 0.761 0.888
0.767 0.475 0.702
0.174 0.680 0.395
0.056 0.672 0.758
0.328 0.944 0.742
```

## Properties
The volume comes out at 12.88 A^3/atom. For the density of states at the Fermi level, the calculation gives 0.0 states/eV/cell. The calculation puts the uncorrected energy at -0.279 hartree per atom. For the calculated density, the calculation gives 2.9 Mg/m³. Its magnetic moment is 0.00 μB/cell.

=====

First-principles (PBEsol) data for a relaxed MgSi4WO10 crystal, as listed in the Alexandria database.

Cell and atoms, written as POSCAR:
```
MgSi4WO10
1.0
7.325 0.000 0.000
0.000 7.325 0.000
0.000 0.000 14.881
Mg Si W O
4 16 4 40
direct
0.500 0.500 0.500
0.000 0.000 0.500
0.000 0.000 0.000
0.500 0.500 0.000
0.156 0.239 0.646
0.844 0.761 0.646
0.239 0.156 0.854
0.739 0.344 0.646
0.261 0.656 0.646
0.344 0.739 0.854
0.656 0.261 0.854
0.761 0.844 0.854
0.344 0.261 0.354
0.656 0.739 0.354
0.261 0.344 0.146
0.761 0.156 0.354
0.239 0.844 0.354
0.156 0.761 0.146
0.844 0.239 0.146
0.739 0.656 0.146
0.500 0.000 0.574
0.000 0.500 0.926
0.000 0.500 0.426
0.500 0.000 0.074
0.224 0.087 0.574
0.776 0.913 0.574
0.087 0.224 0.926
0.587 0.276 0.574
0.413 0.724 0.574
0.276 0.587 0.926
0.724 0.413 0.926
0.913 0.776 0.926
0.276 0.413 0.426
0.724 0.587 0.426
0.413 0.276 0.074
0.913 0.224 0.426
0.087 0.776 0.426
0.224 0.913 0.074
0.776 0.087 0.074
0.251 0.063 0.374
0.587 0.724 0.074
0.751 0.563 0.626
0.437 0.249 0.874
0.937 0.251 0.626
0.063 0.749 0.626
0.251 0.937 0.874
0.749 0.063 0.874
0.563 0.751 0.874
0.686 0.686 0.250
0.814 0.186 0.250
0.186 0.814 0.250
0.314 0.314 0.250
0.814 0.814 0.750
0.686 0.314 0.750
0.314 0.686 0.750
0.186 0.186 0.750
0.937 0.749 0.126
0.751 0.437 0.126
0.249 0.563 0.126
0.437 0.751 0.374
0.563 0.249 0.374
0.063 0.251 0.126
0.749 0.937 0.374
0.249 0.437 0.626
```

## Properties
The volume comes out at 12.47 A^3/atom. For the density of states at the Fermi level, the calculation gives 9.5 states/eV/cell. The calculation puts the uncorrected energy at -0.296 hartree per atom. For the calculated density, the calculation gives 4.0 Mg/m³. Its magnetic moment is 15.84 μB/cell.

=====

First-principles (PBEsol) data for a relaxed Hg2Se crystal, as listed in the Alexandria database.

Cell and atoms, written as POSCAR:
```
Hg2Se
1.0
-3.427 1.442 -1.616
0.923 -3.930 -0.378
-5.638 -2.280 9.925
Hg Se
4 2
direct
0.667 0.333 0.135
0.333 0.667 0.635
0.667 0.333 0.365
0.333 0.667 0.865
0.000 0.000 0.000
0.000 0.000 0.500
```

## Properties
The volume comes out at 27.61 A^3/atom. The relative energy among the computed polymorphs is 11.4 meV per atom. For the density of states at the Fermi level, the calculation gives 0.8 states/eV/cell. The calculation puts the uncorrected energy at -0.063 hartree per atom. For the calculated density, the calculation gives 9.6 Mg/m³. Its magnetic moment is 0.00 μB/cell.

=====

First-principles (PBEsol) data for a relaxed CrRe2PtAu crystal, as listed in the Alexandria database.

Cell and atoms, written as POSCAR:
```
CrRe2PtAu
1.0
4.661 0.000 0.000
0.000 4.691 0.000
0.000 0.000 4.691
Re Au Pt Cr
2 1 1 1
direct
0.000 0.000 0.500
0.000 0.500 0.000
0.500 0.500 0.500
0.000 0.000 0.000
0.500 0.000 0.000
```

## Properties
The calculation puts the energy of formation at 10.65 eV per formula unit. The volume comes out at 20.51 A^3/atom. For the density of states at the Fermi level, the calculation gives 6.1 states/eV/cell. The calculation puts the uncorrected energy at -0.273 hartree per atom. For the calculated density, the calculation gives 13.2 Mg/m³. Its magnetic moment is 1.37 μB/cell.

=====

First-principles (PBEsol) data for a relaxed LiMg3Sb crystal, as listed in the Alexandria database.

Cell and atoms, written as POSCAR:
```
LiMg3Sb
1.0
4.866 0.000 0.000
0.000 4.866 0.000
0.000 0.000 4.866
Sb Mg Li
1 3 1
direct
0.500 0.500 0.500
0.000 0.500 0.000
0.000 0.000 0.500
0.500 0.000 0.000
0.000 0.000 0.000
```

## Properties
The volume comes out at 23.04 A^3/atom. For the density of states at the Fermi level, the calculation gives 2.5 states/eV/cell. The calculation puts the uncorrected energy at -0.075 hartree per atom. For the calculated density, the calculation gives 2.9 Mg/m³. Its magnetic moment is 0.00 μB/cell.

=====

First-principles (PBEsol) data for a relaxed MgBiMo2Au crystal, as listed in the Alexandria database.

Cell and atoms, written as POSCAR:
```
MgBiMo2Au
1.0
4.773 0.000 0.000
0.000 4.980 0.000
0.000 0.000 4.980
Mg Mo Au Bi
1 2 1 1
direct
0.500 0.000 0.000
0.000 0.000 0.500
0.000 0.500 0.000
0.000 0.000 0.000
0.500 0.500 0.500
```

## Properties
The calculation puts the energy of formation at 6.59 eV per formula unit. The volume comes out at 23.67 A^3/atom. For the density of states at the Fermi level, the calculation gives 5.9 states/eV/cell. The calculation puts the uncorrected energy at -0.198 hartree per atom. For the calculated density, the calculation gives 8.7 Mg/m³. Its magnetic moment is 4.16 μB/cell.